# 1
Material: PmTmRu
Method: DFT, PBE-GGA
State: optimized geometry

polymorph energy (0 for the lowest one) = 16 kJ/mol of formula units
uncorrected energy = -76.9 eV/cell
energy of formation = -0.242 eV/atom
total magnetic moment = 0.000 μB per atom

Cell and atoms, written as CIF:
```
data_PmTmRu
_cell_length_a 6.799
_cell_length_b 6.799
_cell_length_c 6.799
_cell_angle_alpha 90.00
_cell_angle_beta 90.00
_cell_angle_gamma 90.00
_symmetry_space_group_name_H-M 'F -4 3 m'
_symmetry_Int_Tables_number 216
_symmetry_space_group_name_Hall 'F -4 2 3'
loop_
_atom_site_label
_atom_site_fract_x
_atom_site_fract_y
_atom_site_fract_z
Pm1 0.000 0.000 0.000
Tm1 0.000 0.000 0.500
Ru1 0.250 0.250 0.250
```

# 2
Material: PmTm4Ru5
Method: DFT, PBE-GGA
State: optimized geometry

uncorrected energy = -72.5 eV/cell
energy of formation = -0.353 eV/atom
total magnetic moment = 0.000 μB per atom

Cell and atoms, written as CIF:
```
data_PmTm4Ru5
_cell_length_a 3.382
_cell_length_b 3.382
_cell_length_c 16.888
_cell_angle_alpha 90.00
_cell_angle_beta 90.00
_cell_angle_gamma 90.00
_symmetry_space_group_name_H-M 'P 4/m m m'
_symmetry_Int_Tables_number 123
_symmetry_space_group_name_Hall '-P 4 2'
loop_
_atom_site_label
_atom_site_fract_x
_atom_site_fract_y
_atom_site_fract_z
Pm1 0.000 0.000 0.000
Tm1 0.000 0.000 0.204
Tm2 0.000 0.000 0.401
Ru1 0.500 0.500 0.105
Ru2 0.500 0.500 0.303
Ru3 0.500 0.500 0.500
```

# 3
Material: PmTm3Ru3
Method: DFT, PBE-GGA
State: optimized geometry

uncorrected energy = -145.8 eV/cell
energy of formation = -0.373 eV/atom
total magnetic moment = 0.000 μB per atom

Cell and atoms, written as CIF:
```
data_PmTm3Ru3
_cell_length_a 9.5289
_cell_length_b 9.5289
_cell_length_c 5.7743
_cell_angle_alpha 90.00
_cell_angle_beta 90.00
_cell_angle_gamma 120.00
_symmetry_space_group_name_H-M 'R 3 m'
_symmetry_Int_Tables_number 160
_symmetry_space_group_name_Hall 'R 3 -2"'
loop_
_atom_site_label
_atom_site_fract_x
_atom_site_fract_y
_atom_site_fract_z
Pm1 0.0000 0.0000 0.0000
Tm1 0.1947 0.3894 0.2184
Ru1 0.0008 0.5004 0.4107
```

# 4
Material: PmTm3Ru8
Method: DFT, PBE-GGA
State: optimized geometry

uncorrected energy = -287.8 eV/cell
energy of formation = -0.298 eV/atom
total magnetic moment = 0.000 μB per atom

Cell and atoms, written as CIF:
```
data_PmTm3Ru8
_cell_length_a 5.3149
_cell_length_b 5.3149
_cell_length_c 26.2280
_cell_angle_alpha 90.00
_cell_angle_beta 90.00
_cell_angle_gamma 120.00
_symmetry_space_group_name_H-M 'R 3 m'
_symmetry_Int_Tables_number 160
_symmetry_space_group_name_Hall 'R 3 -2"'
loop_
_atom_site_label
_atom_site_fract_x
_atom_site_fract_y
_atom_site_fract_z
Pm1 0.0000 0.0000 0.0000
Tm1 0.0000 0.0000 0.1254
Tm2 0.0000 0.0000 0.5005
Tm3 0.0000 0.0000 0.6247
Ru1 0.0000 0.0000 0.3125
Ru2 0.0000 0.0000 0.8129
Ru3 0.0023 0.5012 0.0642
Ru4 0.1683 0.3366 0.8947
```

# 5
Material: PmTm2Ru9
Method: DFT, PBE-GGA
State: optimized geometry

uncorrected energy = -296.7 eV/cell
energy of formation = -0.143 eV/atom
total magnetic moment = 0.000 μB per atom

Cell and atoms, written as CIF:
```
data_PmTm2Ru9
_cell_length_a 5.2826
_cell_length_b 5.2826
_cell_length_c 25.9418
_cell_angle_alpha 90.00
_cell_angle_beta 90.00
_cell_angle_gamma 120.00
_symmetry_space_group_name_H-M 'R -3 m'
_symmetry_Int_Tables_number 166
_symmetry_space_group_name_Hall '-R 3 2"'
loop_
_atom_site_label
_atom_site_fract_x
_atom_site_fract_y
_atom_site_fract_z
Pm1 0.0000 0.0000 0.0000
Tm1 0.0000 0.0000 0.1398
Ru1 0.0000 0.0000 0.3386
Ru2 0.0000 0.0000 0.5000
Ru3 0.0118 0.5059 0.9161
```

# 6
Material: PmTmRu
Method: DFT, PBE-GGA
State: optimized geometry

polymorph energy (0 for the lowest one) = 0 kJ/mol of formula units
uncorrected energy = -38.8 eV/cell
energy of formation = -0.296 eV/atom
total magnetic moment = 0.000 μB per atom

Cell and atoms, written as CIF:
```
data_PmTmRu
_cell_length_a 3.418
_cell_length_b 3.418
_cell_length_c 13.104
_cell_angle_alpha 90.00
_cell_angle_beta 90.00
_cell_angle_gamma 90.00
_symmetry_space_group_name_H-M 'I 4 m m'
_symmetry_Int_Tables_number 107
_symmetry_space_group_name_Hall 'I 4 -2'
loop_
_atom_site_label
_atom_site_fract_x
_atom_site_fract_y
_atom_site_fract_z
Pm1 0.000 0.000 0.000
Tm1 0.000 0.000 0.254
Ru1 0.000 0.000 0.635
```

# 7
Material: PmTmRu
Method: DFT, PBE-GGA
State: optimized geometry

polymorph energy (0 for the lowest one) = 56 kJ/mol of formula units
uncorrected energy = -18.8 eV/cell
energy of formation = -0.103 eV/atom
total magnetic moment = 0.000 μB per atom

Cell and atoms, written as CIF:
```
data_PmTmRu
_cell_length_a 4.7283
_cell_length_b 4.7283
_cell_length_c 3.6364
_cell_angle_alpha 90.00
_cell_angle_beta 90.00
_cell_angle_gamma 120.00
_symmetry_space_group_name_H-M 'P 3 m 1'
_symmetry_Int_Tables_number 156
loop_
_symmetry_equiv_pos_as_xyz
'x,y,z'
'-y,x-y,z'
'-x+y,-x,z'
'-y,-x,z'
'-x+y,y,z'
'x,x-y,z'
loop_
_atom_site_label
_atom_site_fract_x
_atom_site_fract_y
_atom_site_fract_z
Pm1 0.0000 0.0000 0.0000
Tm1 0.3333 0.6667 0.5453
Ru1 0.6667 0.3333 0.3127
```

# 8
Material: PmTm2Ru2
Method: DFT, PBE-GGA
State: optimized geometry

uncorrected energy = -67.3 eV/cell
energy of formation = -0.277 eV/atom
total magnetic moment = 0.000 μB per atom

Cell and atoms, written as CIF:
```
data_PmTm2Ru2
_cell_length_a 3.409
_cell_length_b 20.363
_cell_length_c 3.382
_cell_angle_alpha 90.00
_cell_angle_beta 90.00
_cell_angle_gamma 90.00
_symmetry_space_group_name_H-M 'C m m m'
_symmetry_Int_Tables_number 65
_symmetry_space_group_name_Hall '-C 2 2'
loop_
_atom_site_label
_atom_site_fract_x
_atom_site_fract_y
_atom_site_fract_z
Pm1 0.000 0.000 0.000
Tm1 0.000 0.167 0.000
Ru1 0.000 0.407 0.500
```